Crystalline MnC3 at its relaxed geometry, computed with PBEsol.

abc: 2.849 3.568 3.568
angles: 113.19 105.44 105.44
Fractional coordinates of all 4 atoms:
C  0.500  0.500  0.500
C  0.000  0.500  0.000
C  0.000  0.000  0.500
Mn  0.500  0.000  0.000

* energy above the most stable polymorph in this dataset: 250 meV/atom
* ΔE_f: 209.06 kJ/mol of atoms